Below is a geometry-optimized WSeF3 structure, with properties calculated at the PBE with a Hubbard U level.

```
data_WSeF3
_chemical_formula_sum 'W1 Se1 F3'
_cell_length_a 4.330
_cell_length_b 4.330
_cell_length_c 4.330
_cell_angle_alpha 90.00
_cell_angle_beta 90.00
_cell_angle_gamma 90.00
_symmetry_space_group_name_H-M 'P m -3 m'
_symmetry_Int_Tables_number 221
_symmetry_space_group_name_Hall '-P 4 2 3'
loop_
_atom_site_label
_atom_site_type_symbol
_atom_site_fract_x
_atom_site_fract_y
_atom_site_fract_z
W1 W 0.000 0.000 0.000
Se1 Se 0.500 0.500 0.500
F1 F 0.000 0.000 0.500
```

Calculated values
VASP energy, eV per atom: -4.707